VASP calculation (GGA-PBE) on crystalline Cs4SbSe4 at its relaxed geometry.

POSCAR file:
```
Cs4SbSe4
1.0
-4.313 -3.912 -4.365
3.164 -7.362 -2.596
-5.178 -5.392 3.881
Cs Sb Se
4 1 4
Direct
0.797 0.614 0.792
0.203 0.386 0.208
0.589 0.208 0.614
0.411 0.792 0.386
0.000 0.000 0.000
0.760 0.319 0.160
0.240 0.681 0.840
0.921 0.840 0.319
0.079 0.160 0.681
```

Properties
The value obtained for the volume is 419.95 Å³/cell. Its energy relative to the elements, uncorrected is -0.76 eV/atom. The calculation puts the density of states at the Fermi level at 5.1 states/eV per cell.



VASP calculation (GGA-PBE) on crystalline Cs3Sb2Se4 at its relaxed geometry.

POSCAR file:
```
Cs3Sb2Se4
1.0
9.674 0.132 -0.419
-0.321 8.684 -4.674
0.228 -0.249 9.938
Cs Sb Se
6 4 8
Direct
0.113 0.757 0.737
0.387 0.020 0.263
0.887 0.243 0.263
0.613 0.980 0.737
0.750 0.538 0.000
0.250 0.462 0.000
0.548 0.551 0.389
0.952 0.162 0.611
0.452 0.449 0.611
0.048 0.838 0.389
0.473 0.704 0.866
0.027 0.838 0.134
0.527 0.296 0.134
0.973 0.162 0.866
0.850 0.671 0.407
0.650 0.264 0.593
0.150 0.329 0.593
0.350 0.736 0.407
```

Properties
The value obtained for the volume is 824.75 Å³/cell. Its energy relative to the elements, uncorrected is -0.78 eV/atom. The calculation puts the density of states at the Fermi level at 5.7 states/eV per cell.



| no. | total magnetic moment (μB/cell) |
| --- | --- |
| 1 | 0.6 |
| 2 | 0.0 |